Entry 1:
First-principles (GGA-PBE) data for a relaxed PmHoInCo crystal, as listed in the Alexandria database.

Output
Formation enthalpy at 0 K = -0.161 eV per atom
Spin magnetization = 1.24 μB/f.u.

a = 7.2783 Å, b = 7.2783 Å, c = 7.2783 Å
α = 90.00°, β = 90.00°, γ = 90.00°
Space group F-43m (No. 216)
Inequivalent atoms, fractional coordinates:
Pm  0.0000  0.0000  0.0000 (multiplicity 4)
Ho  0.0000  0.0000  0.5000 (multiplicity 4)
In  0.2500  0.2500  0.2500 (multiplicity 4)
Co  0.2500  0.2500  0.7500 (multiplicity 4)

=====

Entry 2:
First-principles (GGA-PBE) data for a relaxed HoInCoPt crystal, as listed in the Alexandria database.

Output
Formation enthalpy at 0 K = -0.524 eV per atom
Spin magnetization = 1.04 μB/f.u.

a = 6.6362 Å, b = 6.6362 Å, c = 6.6362 Å
α = 90.00°, β = 90.00°, γ = 90.00°
Space group F-43m (No. 216)
Inequivalent atoms, fractional coordinates:
Ho  0.0000  0.0000  0.0000 (multiplicity 4)
In  0.0000  0.0000  0.5000 (multiplicity 4)
Co  0.2500  0.2500  0.2500 (multiplicity 4)
Pt  0.2500  0.2500  0.7500 (multiplicity 4)

=====

Entry 3:
First-principles (GGA-PBE) data for a relaxed HoInCoRh crystal, as listed in the Alexandria database.

Output
Formation enthalpy at 0 K = -0.432 eV per atom
Spin magnetization = 0.00 μB/f.u.

a = 6.5301 Å, b = 6.5301 Å, c = 6.5301 Å
α = 90.00°, β = 90.00°, γ = 90.00°
Space group F-43m (No. 216)
Inequivalent atoms, fractional coordinates:
Ho  0.0000  0.0000  0.0000 (multiplicity 4)
In  0.0000  0.0000  0.5000 (multiplicity 4)
Co  0.2500  0.2500  0.2500 (multiplicity 4)
Rh  0.2500  0.2500  0.7500 (multiplicity 4)

=====

Entry 4:
First-principles (GGA-PBE) data for a relaxed HoInCoRu crystal, as listed in the Alexandria database.

Output
Formation enthalpy at 0 K = -0.137 eV per atom
Spin magnetization = 0.00 μB/f.u.

a = 6.5242 Å, b = 6.5242 Å, c = 6.5242 Å
α = 90.00°, β = 90.00°, γ = 90.00°
Space group F-43m (No. 216)
Inequivalent atoms, fractional coordinates:
Ho  0.0000  0.0000  0.0000 (multiplicity 4)
In  0.0000  0.0000  0.5000 (multiplicity 4)
Co  0.2500  0.2500  0.7500 (multiplicity 4)
Ru  0.2500  0.2500  0.2500 (multiplicity 4)

=====

Entry 5:
First-principles (GGA-PBE) data for a relaxed Ho5In2CoRu2 crystal, as listed in the Alexandria database.

Output
Formation enthalpy at 0 K = -0.280 eV per atom
Spin magnetization = 0.27 μB/f.u.

a = 11.5785 Å, b = 11.5785 Å, c = 3.4305 Å
α = 90.00°, β = 90.00°, γ = 90.00°
Space group P4/mbm (No. 127)
Inequivalent atoms, fractional coordinates:
Ho  0.0000  0.5000  0.0000 (multiplicity 2)
Ho  0.0613  0.1944  0.0000 (multiplicity 8)
In  0.1820  0.6820  0.5000 (multiplicity 4)
Co  0.0000  0.0000  0.5000 (multiplicity 2)
Ru  0.1375  0.3625  0.5000 (multiplicity 4)

=====

Entry 6:
First-principles (GGA-PBE) data for a relaxed Ho3Sc3In2Co crystal, as listed in the Alexandria database.

Output
Formation enthalpy at 0 K = -0.319 eV per atom
Spin magnetization = 0.00 μB/f.u.

a = 8.3100 Å, b = 8.3100 Å, c = 3.7128 Å
α = 90.00°, β = 90.00°, γ = 120.00°
Space group P-62m (No. 189)
Inequivalent atoms, fractional coordinates:
Ho  0.0000  0.3896  0.0000 (multiplicity 3)
Sc  0.0000  0.7729  0.5000 (multiplicity 3)
In  0.3333  0.6667  0.5000 (multiplicity 2)
Co  0.0000  0.0000  0.0000 (multiplicity 1)

=====

Entry 7:
First-principles (GGA-PBE) data for a relaxed TbHoInCo crystal, as listed in the Alexandria database.

Output
E above lowest polymorph = 0.118 eV/atom
Formation enthalpy at 0 K = -0.198 eV per atom
Spin magnetization = 1.24 μB/f.u.

a = 7.1925 Å, b = 7.1925 Å, c = 7.1925 Å
α = 90.00°, β = 90.00°, γ = 90.00°
Space group F-43m (No. 216)
Inequivalent atoms, fractional coordinates:
Tb  0.0000  0.0000  0.0000 (multiplicity 4)
Ho  0.0000  0.0000  0.5000 (multiplicity 4)
In  0.2500  0.2500  0.7500 (multiplicity 4)
Co  0.2500  0.2500  0.2500 (multiplicity 4)

=====

Entry 8:
First-principles (GGA-PBE) data for a relaxed TbHoInCo crystal, as listed in the Alexandria database.

Output
E above lowest polymorph = 0.000 eV/atom
Formation enthalpy at 0 K = -0.316 eV per atom
Spin magnetization = 0.70 μB/f.u.

a = 3.4360 Å, b = 3.4360 Å, c = 7.6902 Å
α = 90.00°, β = 90.00°, γ = 90.00°
Space group P4mm (No. 99)
Inequivalent atoms, fractional coordinates:
Tb  0.0000  0.0000  0.0000 (multiplicity 1)
Ho  0.0000  0.0000  0.5750 (multiplicity 1)
In  0.5000  0.5000  0.2904 (multiplicity 1)
Co  0.5000  0.5000  0.7830 (multiplicity 1)

=====

Entry 9:
First-principles (GGA-PBE) data for a relaxed Ho3Tl2In3Co crystal, as listed in the Alexandria database.

Output
Formation enthalpy at 0 K = -0.327 eV per atom
Spin magnetization = 0.00 μB/f.u.

a = 7.5200 Å, b = 7.5200 Å, c = 4.3886 Å
α = 90.00°, β = 90.00°, γ = 120.00°
Space group P-62m (No. 189)
Inequivalent atoms, fractional coordinates:
Ho  0.0000  0.3838  0.0000 (multiplicity 3)
Tl  0.3333  0.6667  0.5000 (multiplicity 2)
In  0.0000  0.7689  0.5000 (multiplicity 3)
Co  0.0000  0.0000  0.0000 (multiplicity 1)

=====

Entry 10:
First-principles (GGA-PBE) data for a relaxed HoTmInCo crystal, as listed in the Alexandria database.

Output
E above lowest polymorph = 0.125 eV/atom
Formation enthalpy at 0 K = -0.214 eV per atom
Spin magnetization = 1.22 μB/f.u.

a = 7.1230 Å, b = 7.1230 Å, c = 7.1230 Å
α = 90.00°, β = 90.00°, γ = 90.00°
Space group F-43m (No. 216)
Inequivalent atoms, fractional coordinates:
Ho  0.0000  0.0000  0.0000 (multiplicity 4)
Tm  0.0000  0.0000  0.5000 (multiplicity 4)
In  0.2500  0.2500  0.2500 (multiplicity 4)
Co  0.2500  0.2500  0.7500 (multiplicity 4)

=====

Entry 11:
First-principles (GGA-PBE) data for a relaxed HoTmInCo crystal, as listed in the Alexandria database.

Output
E above lowest polymorph = 0.000 eV/atom
Formation enthalpy at 0 K = -0.339 eV per atom
Spin magnetization = 0.42 μB/f.u.

a = 3.3347 Å, b = 3.3347 Å, c = 7.9459 Å
α = 90.00°, β = 90.00°, γ = 90.00°
Space group P4mm (No. 99)
Inequivalent atoms, fractional coordinates:
Ho  0.0000  0.0000  0.0000 (multiplicity 1)
Tm  0.0000  0.0000  0.5893 (multiplicity 1)
In  0.5000  0.5000  0.2968 (multiplicity 1)
Co  0.5000  0.5000  0.7910 (multiplicity 1)

=====

Entry 12:
First-principles (GGA-PBE) data for a relaxed HoCoIr crystal, as listed in the Alexandria database.

Output
Formation enthalpy at 0 K = -0.453 eV per atom
Spin magnetization = 1.21 μB/f.u.

a = 4.0571 Å, b = 4.0571 Å, c = 3.9545 Å
α = 90.00°, β = 90.00°, γ = 120.00°
Space group P-6m2 (No. 187)
Inequivalent atoms, fractional coordinates:
Ho  0.0000  0.0000  0.0000 (multiplicity 1)
Co  0.3333  0.6667  0.5000 (multiplicity 1)
Ir  0.6667  0.3333  0.5000 (multiplicity 1)

=====

Entry 13:
First-principles (GGA-PBE) data for a relaxed Ho2Co2Ir crystal, as listed in the Alexandria database.

Output
Formation enthalpy at 0 K = -0.346 eV per atom
Spin magnetization = 1.19 μB/f.u.

a = 6.6018 Å, b = 6.6018 Å, c = 4.0525 Å
α = 90.00°, β = 90.00°, γ = 90.00°
Space group P4/mbm (No. 127)
Inequivalent atoms, fractional coordinates:
Ho  0.1854  0.3146  0.0000 (multiplicity 4)
Co  0.1192  0.6192  0.5000 (multiplicity 4)
Ir  0.0000  0.0000  0.5000 (multiplicity 2)

=====

Entry 14:
First-principles (GGA-PBE) data for a relaxed HoCoIr crystal, as listed in the Alexandria database.

Output
Formation enthalpy at 0 K = -0.109 eV per atom
Spin magnetization = 0.00 μB/f.u.

a = 6.7151 Å, b = 6.7151 Å, c = 5.6515 Å
α = 90.00°, β = 90.00°, γ = 90.00°
Space group P4_12_12 (No. 92)
Inequivalent atoms, fractional coordinates:
Ho  0.2452  0.2452  0.0000 (multiplicity 4)
Co  0.1377  0.8623  0.7500 (multiplicity 4)
Ir  0.1251  0.1251  0.5000 (multiplicity 4)

=====

Entry 15:
First-principles (GGA-PBE) data for a relaxed HoCoIr crystal, as listed in the Alexandria database.

Output
Formation enthalpy at 0 K = -0.577 eV per atom
Spin magnetization = 0.80 μB/f.u.

a = 5.0412 Å, b = 5.3918 Å, c = 7.2950 Å
α = 90.00°, β = 90.00°, γ = 90.00°
Space group Imma (No. 74)
Inequivalent atoms, fractional coordinates:
Ho  0.0000  0.2500  0.1214 (multiplicity 4)
Co  0.2500  0.2500  0.7500 (multiplicity 4)
Ir  0.0000  0.0000  0.5000 (multiplicity 4)

=====

Entry 16:
First-principles (GGA-PBE) data for a relaxed Ho5Co2Ir crystal, as listed in the Alexandria database.

Output
Formation enthalpy at 0 K = -0.429 eV per atom
Spin magnetization = 0.00 μB/f.u.

a = 7.0616 Å, b = 7.0616 Å, c = 14.1912 Å
α = 90.00°, β = 90.00°, γ = 90.00°
Space group I4/mcm (No. 140)
Inequivalent atoms, fractional coordinates:
Ho  0.0000  0.0000  0.0000 (multiplicity 4)
Ho  0.1780  0.3220  0.1422 (multiplicity 16)
Co  0.1126  0.3874  0.5000 (multiplicity 8)
Ir  0.0000  0.0000  0.2500 (multiplicity 4)

=====

Entry 17:
First-principles (GGA-PBE) data for a relaxed Ho3CoIr2 crystal, as listed in the Alexandria database.

Output
Formation enthalpy at 0 K = -0.645 eV per atom
Spin magnetization = 0.00 μB/f.u.

a = 11.0951 Å, b = 4.0860 Å, c = 11.1747 Å
α = 90.00°, β = 90.00°, γ = 90.00°
Space group Pnma (No. 62)
Inequivalent atoms, fractional coordinates:
Ho  0.0515  0.2500  0.1197 (multiplicity 4)
Ho  0.1196  0.7500  0.5589 (multiplicity 4)
Ho  0.2070  0.2500  0.8021 (multiplicity 4)
Co  0.1281  0.2500  0.3638 (multiplicity 4)
Ir  0.0242  0.7500  0.3112 (multiplicity 4)
Ir  0.1928  0.7500  0.9949 (multiplicity 4)

=====

Entry 18:
First-principles (GGA-PBE) data for a relaxed Ho2CoIr crystal, as listed in the Alexandria database.

Output
Formation enthalpy at 0 K = -0.523 eV per atom
Spin magnetization = 0.54 μB/f.u.

a = 4.7844 Å, b = 4.7844 Å, c = 3.3693 Å
α = 90.00°, β = 90.00°, γ = 90.00°
Space group P4/mmm (No. 123)
Inequivalent atoms, fractional coordinates:
Ho  0.0000  0.5000  0.0000 (multiplicity 2)
Co  0.0000  0.0000  0.5000 (multiplicity 1)
Ir  0.5000  0.5000  0.5000 (multiplicity 1)

=====

Entry 19:
First-principles (GGA-PBE) data for a relaxed Ho8Co2Ir crystal, as listed in the Alexandria database.

Output
Formation enthalpy at 0 K = -0.209 eV per atom
Spin magnetization = 0.00 μB/f.u.

a = 8.0782 Å, b = 12.2947 Å, c = 5.9437 Å
α = 90.00°, β = 108.56°, γ = 90.00°
Space group Cm (No. 8)
Inequivalent atoms, fractional coordinates:
Ho  0.0000  0.0000  0.0000 (multiplicity 2)
Ho  0.0722  0.3681  0.7760 (multiplicity 4)
Ho  0.1550  0.1315  0.5839 (multiplicity 4)
Ho  0.2200  0.5000  0.3692 (multiplicity 2)
Ho  0.3605  0.2144  0.1846 (multiplicity 4)
Co  0.3645  0.3102  0.6848 (multiplicity 4)
Ir  0.3571  0.0000  0.3488 (multiplicity 2)

=====

Entry 20:
First-principles (GGA-PBE) data for a relaxed Ho2CoP4Ir3 crystal, as listed in the Alexandria database.

Output
Formation enthalpy at 0 K = -0.944 eV per atom
Spin magnetization = 0.81 μB/f.u.

a = 4.1106 Å, b = 4.1106 Å, c = 9.3994 Å
α = 90.00°, β = 90.00°, γ = 90.00°
Space group P-4m2 (No. 115)
Inequivalent atoms, fractional coordinates:
Ho  0.0000  0.5000  0.2469 (multiplicity 2)
Co  0.0000  0.0000  0.5000 (multiplicity 1)
P  0.0000  0.0000  0.0000 (multiplicity 1)
P  0.0000  0.5000  0.6316 (multiplicity 2)
P  0.5000  0.5000  0.0000 (multiplicity 1)
Ir  0.0000  0.5000  0.8818 (multiplicity 2)
Ir  0.5000  0.5000  0.5000 (multiplicity 1)